A) The following is a DFT calculation (PBE) of a relaxed NbCr2Re crystal.

Cell and atoms, written as extended XYZ:
```
4
Lattice="-0.0280 2.9425 0.7495 -0.9864 -0.7177 2.7808 5.7936 -0.4394 1.9416" Properties=species:S:1:pos:R:3 pbc="T T T"
Re -0.5072 1.1124 1.7651
Nb 2.3896 0.8927 2.7359
Cr 4.4005 -0.3337 1.4747
Cr 1.3931 -0.1057 0.4669
```

Computed properties:
The calculation puts the total magnetic moment at 0.01 μB per formula unit. The value obtained for the density is 11.26 g/cm³. As for the space group: P4/mmm, No. 123.



B) The following is a DFT calculation (PBE) of a relaxed NbCr2Re crystal.

Cell and atoms, written as extended XYZ:
```
8
Lattice="6.8298 0.0000 0.0000 0.0000 6.8298 0.0000 3.4149 3.4149 2.6331" Properties=species:S:1:pos:R:3 pbc="T T T"
Re 0.0000 0.0000 0.0000
Re 6.8298 3.4149 1.3166
Nb 3.4149 3.4149 0.0000
Nb 3.4149 6.8298 1.3166
Cr 5.2500 1.7074 0.6583
Cr 1.5798 5.1223 0.6583
Cr 5.1223 4.9947 1.9748
Cr 8.5372 8.6649 1.9748
```

Computed properties:
The calculation puts the total magnetic moment at 0.00 μB per formula unit. The value obtained for the density is 10.36 g/cm³. As for the space group: I-42d, No. 122.



C) The following is a DFT calculation (PBE) of a relaxed NbCr2Re crystal.

Cell and atoms, written as extended XYZ:
```
4
Lattice="4.6201 -1.5913 -2.6900 -1.4328 4.6717 2.6900 -3.1362 0.0559 4.6124" Properties=species:S:1:pos:R:3 pbc="T T T"
Nb 0.0000 0.0000 0.0000
Cr -1.2069 1.2488 1.9289
Cr -3.3622 3.4788 5.3735
Re -2.2845 2.3638 3.6512
```

Computed properties:
The calculation puts the total magnetic moment at 0.00 μB per formula unit. The value obtained for the density is 10.17 g/cm³. As for the space group: Immm, No. 71.



Tell me which of them is the least stable. Sure, it is C).



A) The following is a DFT calculation (PBE) of a relaxed NbCr2Re crystal.

Cell and atoms, written as extended XYZ:
```
4
Lattice="0.0000 3.0395 3.0395 3.0395 0.0000 3.0395 3.0395 3.0395 0.0000" Properties=species:S:1:pos:R:3 pbc="T T T"
Re 3.0395 3.0395 3.0395
Nb 0.0000 0.0000 0.0000
Cr 1.5198 1.5198 1.5198
Cr 4.5593 4.5593 4.5593
```

Computed properties:
The calculation puts the total magnetic moment at 0.00 μB per formula unit. The value obtained for the density is 11.33 g/cm³. As for the space group: Fm-3m, No. 225.



B) The following is a DFT calculation (PBE) of a relaxed NbCr2Re crystal.

Cell and atoms, written as extended XYZ:
```
4
Lattice="-0.9982 -2.3242 -1.6873 -2.1156 -1.5609 3.4017 -3.4664 2.2907 -1.1047" Properties=species:S:1:pos:R:3 pbc="T T T"
Re -3.2901 -0.7972 0.3048
Nb -0.4991 -1.1621 -0.8436
Cr -1.7332 1.1454 -0.5524
Cr -1.0578 -0.7805 1.7008
```

Computed properties:
The calculation puts the total magnetic moment at 0.00 μB per formula unit. The value obtained for the density is 11.32 g/cm³. As for the space group: P4/mmm, No. 123.



Tell me which of them is the least stable. Sure, it is B).



A) The following is a DFT calculation (PBE) of a relaxed Nb2CrRh crystal.

Cell and atoms, written as extended XYZ:
```
8
Lattice="3.8327 0.0000 0.0000 0.0000 3.8327 0.0000 1.9163 1.9163 9.4741" Properties=species:S:1:pos:R:3 pbc="T T T"
Cr 1.9163 1.9163 0.0000
Cr 1.9163 3.8327 4.7371
Nb 2.8621 0.9582 2.3685
Nb 0.9706 2.8745 2.3685
Nb 2.8745 2.8869 7.1056
Nb 4.7909 4.7784 7.1056
Rh 0.0000 0.0000 0.0000
Rh 3.8327 1.9163 4.7371
```

Computed properties:
The calculation puts the total magnetic moment at 2.71 μB per formula unit. The value obtained for the density is 8.13 g/cm³. As for the space group: I-42d, No. 122.



B) The following is a DFT calculation (PBE) of a relaxed Nb2CrRh crystal.

Cell and atoms, written as extended XYZ:
```
4
Lattice="0.0000 3.1542 3.1542 3.1542 0.0000 3.1542 3.1542 3.1542 0.0000" Properties=species:S:1:pos:R:3 pbc="T T T"
Cr 0.0000 0.0000 0.0000
Nb 1.5771 1.5771 1.5771
Nb 4.7313 4.7313 4.7313
Rh 3.1542 3.1542 3.1542
```

Computed properties:
The calculation puts the total magnetic moment at 0.00 μB per formula unit. The value obtained for the density is 9.01 g/cm³. As for the space group: Fm-3m, No. 225.



Tell me which of them is the least stable. Sure, it is A).



A) The following is a DFT calculation (PBE) of a relaxed NbCrRu crystal.

Cell and atoms, written as extended XYZ:
```
12
Lattice="4.9088 0.0612 0.0000 -2.3242 4.3241 0.0000 0.0000 0.0000 8.3375" Properties=species:S:1:pos:R:3 pbc="T T T"
Nb 0.0847 2.9044 2.5670
Nb 2.4887 1.4875 1.5147
Nb 2.4887 1.4875 6.8229
Nb 0.0847 2.9044 5.7706
Ru 4.8637 0.0878 2.0548
Ru 4.8637 0.0878 6.2827
Ru 1.3381 0.7262 4.1688
Ru 2.5974 2.8628 4.1688
Cr 3.6974 0.7752 4.1688
Cr 1.2600 3.6214 0.0000
Cr 0.0266 1.5287 0.0000
Cr -1.0549 3.5760 0.0000
```

Computed properties:
The calculation puts the total magnetic moment at 0.00 μB per formula unit. The value obtained for the density is 9.17 g/cm³. As for the space group: Amm2, No. 38.



B) The following is a DFT calculation (PBE) of a relaxed NbCrRu crystal.

Cell and atoms, written as extended XYZ:
```
3
Lattice="3.0939 0.0000 0.0000 0.0000 3.0939 0.0000 -1.5469 -1.5469 4.6207" Properties=species:S:1:pos:R:3 pbc="T T T"
Ru 1.5469 1.5469 1.1095
Nb 1.5469 1.5469 4.1082
Cr 0.0000 0.0000 2.6375
```

Computed properties:
The calculation puts the total magnetic moment at 0.00 μB per formula unit. The value obtained for the density is 9.23 g/cm³. As for the space group: I4mm, No. 107.



Tell me which of them is the least stable. Sure, it is B).



A) The following is a DFT calculation (PBE) of a relaxed NbCrS2 crystal.

Cell and atoms, written as extended XYZ:
```
4
Lattice="-3.6065 4.4939 5.7705 -3.3524 1.5844 7.2630 -0.8035 3.6483 7.2488" Properties=species:S:1:pos:R:3 pbc="T T T"
Cr 0.0000 0.0000 0.0000
Nb -3.8812 4.8633 10.1412
S -6.9998 8.7710 18.2896
S -0.7627 0.9556 1.9927
```

Computed properties:
The calculation puts the total magnetic moment at 4.20 μB per formula unit. The value obtained for the density is 4.70 g/cm³. As for the space group: R-3m, No. 166.



B) The following is a DFT calculation (PBE) of a relaxed NbCrS2 crystal.

Cell and atoms, written as extended XYZ:
```
8
Lattice="5.5304 0.0000 0.0000 0.0000 5.5304 0.0000 2.7652 2.7652 5.2492" Properties=species:S:1:pos:R:3 pbc="T T T"
Cr 2.7652 2.7652 0.0000
Cr 2.7652 5.5304 2.6246
Nb 0.0000 0.0000 0.0000
Nb 5.5304 2.7652 2.6246
S 4.0723 1.3826 1.3123
S 1.4581 4.1478 1.3123
S 4.1478 4.2233 3.9369
S 6.9130 6.8375 3.9369
```

Computed properties:
The calculation puts the total magnetic moment at 3.29 μB per formula unit. The value obtained for the density is 4.32 g/cm³. As for the space group: I-42d, No. 122.



Tell me which of them is the least stable. Sure, it is B).



A) The following is a DFT calculation (PBE) of a relaxed NbCrS3 crystal.

Cell and atoms, written as extended XYZ:
```
5
Lattice="-3.6550 2.6129 1.6708 0.5307 -2.0174 4.3158 3.0557 3.4757 1.2490" Properties=species:S:1:pos:R:3 pbc="T T T"
Cr -0.0343 2.0356 3.6178
Nb 0.0000 0.0000 0.0000
S 0.2653 -1.0087 2.1579
S 1.5279 1.7378 0.6245
S -1.8275 1.3065 0.8354
```

Computed properties:
The calculation puts the total magnetic moment at 4.65 μB per formula unit. The value obtained for the density is 3.63 g/cm³. As for the space group: Pm-3m, No. 221.



B) The following is a DFT calculation (PBE) of a relaxed NbCrS3 crystal.

Cell and atoms, written as extended XYZ:
```
10
Lattice="5.9265 0.0000 -0.2387 2.9633 5.2735 -0.1193 1.7099 0.0000 6.6842" Properties=species:S:1:pos:R:3 pbc="T T T"
Nb 5.9265 3.8545 -0.2387
Nb 2.9633 1.4189 -0.1193
Cr 1.8368 0.0000 5.7124
Cr 5.7996 0.0000 0.7330
S 5.6632 0.0000 4.7495
S 1.9732 0.0000 1.6959
S 2.7130 1.9464 5.1548
S 5.6763 3.3270 5.0355
S 7.8867 3.3270 1.1713
S 4.9234 1.9464 1.2906
```

Computed properties:
The calculation puts the total magnetic moment at 0.00 μB per formula unit. The value obtained for the density is 3.79 g/cm³. As for the space group: C2/m, No. 12.



Tell me which of them is the least stable. Sure, it is A).



A) The following is a DFT calculation (PBE) of a relaxed Nb2CrS5 crystal.

Cell and atoms, written as extended XYZ:
```
16
Lattice="4.8362 0.0000 0.0000 -2.4181 6.0468 0.0000 0.0000 0.0000 11.0309" Properties=species:S:1:pos:R:3 pbc="T T T"
Nb 2.4181 3.9433 5.1204
Nb 2.4181 3.9433 0.3951
Nb 0.0000 2.1035 5.9106
Nb 0.0000 2.1035 10.6358
Cr 2.4181 3.7066 8.2732
Cr 0.0000 2.3402 2.7577
S 2.4181 5.5045 9.7307
S 2.4181 5.5045 6.8157
S 0.0000 4.0824 4.4730
S 0.0000 4.0824 1.0425
S 2.4181 2.8685 2.7577
S 0.0000 3.1784 8.2732
S 2.4181 1.9644 6.5580
S 2.4181 1.9644 9.9884
S 0.0000 0.5424 1.3002
S 0.0000 0.5424 4.2152
```

Computed properties:
The calculation puts the total magnetic moment at 1.87 μB per formula unit. The value obtained for the density is 4.10 g/cm³. As for the space group: Cmcm, No. 63.



B) The following is a DFT calculation (PBE) of a relaxed Nb2CrS5 crystal.

Cell and atoms, written as extended XYZ:
```
8
Lattice="-0.8914 3.3418 -2.7997 -6.2914 -0.8282 -2.5218 -2.8761 5.1463 3.5222" Properties=species:S:1:pos:R:3 pbc="T T T"
Nb -6.3778 6.7915 -0.4715
Nb -3.6812 0.8684 -1.3277
Cr -5.0295 3.8299 -0.8996
S -7.1579 4.3553 0.4052
S -5.6124 2.1454 -2.7248
S -4.5838 2.1590 0.5002
S -2.9010 3.3045 -2.2044
S -4.4465 5.5145 0.9255
```

Computed properties:
The calculation puts the total magnetic moment at 2.98 μB per formula unit. The value obtained for the density is 3.54 g/cm³. As for the space group: Fmmm, No. 69.



Tell me which of them is the least stable. Sure, it is B).



A) The following is a DFT calculation (PBE) of a relaxed NbCr3Sb crystal.

Cell and atoms, written as extended XYZ:
```
5
Lattice="-1.8098 4.3857 -0.3736 -3.6184 -1.2524 2.8263 2.5063 1.3588 3.8107" Properties=species:S:1:pos:R:3 pbc="T T T"
Sb -1.4609 2.2461 3.1318
Nb 0.0000 0.0000 0.0000
Cr -1.8092 -0.6262 1.4132
Cr 1.2531 0.6794 1.9054
Cr -0.9049 2.1929 -0.1868
```

Computed properties:
The calculation puts the total magnetic moment at 8.36 μB per formula unit. The value obtained for the density is 5.71 g/cm³. As for the space group: Pm-3m, No. 221.



B) The following is a DFT calculation (PBE) of a relaxed NbCr3Sb crystal.

Cell and atoms, written as extended XYZ:
```
5
Lattice="4.8917 0.0000 0.0000 0.0000 4.8917 0.0000 0.0000 0.0000 4.8917" Properties=species:S:1:pos:R:3 pbc="T T T"
Sb 0.0000 0.0000 0.0000
Nb 2.4458 2.4458 2.4458
Cr 0.0000 2.4458 0.0000
Cr 0.0000 0.0000 2.4458
Cr 2.4458 0.0000 0.0000
```

Computed properties:
The calculation puts the total magnetic moment at 7.92 μB per formula unit. The value obtained for the density is 5.26 g/cm³. As for the space group: Pm-3m, No. 221.



Tell me which of them is the least stable. Sure, it is B).